A relaxed Na4Pu3ZrSe8 crystal, computed with PBE.

The space group is R-3m (166). As for the spin magnetization: 16.0 μB per formula unit. The value obtained for the density is 6212 kg/m³. The final energy comes out at -106.9 eV for the cell shown.

a = 8.2688 Å, b = 8.4586 Å, c = 8.2689 Å
α = 119.26°, β = 120.00°, γ = 90.00°
Last column: magnetic moment on the atom in μB.
Fractional positions:
Se 0.2556 0.2665 0.5111  -0.10
Se 0.7580 0.7278 0.9928  -0.06
Se 0.2349 0.7277 0.4698  -0.06
Se 0.2420 0.2722 0.0072  -0.06
Se 0.7651 0.2722 0.0072  -0.06
Se 0.7651 0.2723 0.5302  -0.06
Se 0.7444 0.7335 0.4889  -0.10
Se 0.2349 0.7278 0.9928  -0.06
Na 0.5000 0.0000 0.5000  0.00
Na 0.5000 0.0000 0.0000  0.00
Na 0.0000 0.0000 0.0000  0.00
Na 0.0000 0.0000 0.5000  0.00
Pu 0.5000 0.5000 0.5000  5.21
Pu 0.5000 0.5000 0.0000  5.21
Pu 0.0000 0.5000 0.5000  5.21
Zr 0.0000 0.5000 0.0000  0.34